No. 1
VASP calculation (GGA-PBE) on DyPu2Au after structural relaxation.

The value obtained for the formation energy is -4.548 kcal/mol of atoms. The value obtained for the total energy is -9.333 eV per atom.

The space group is P4/mmm (No. 123) and the conventional cell measures 4.304, 4.304 and 5.351 Å, with angles of 90.00, 90.00 and 90.00 degrees. The distinct sites, in fractional coordinates, are Dy at (0.000, 0.000, 0.000), Pu at (0.000, 0.500, 0.500) and Au at (0.500, 0.500, 0.000).

---

No. 2
VASP calculation (GGA-PBE) on Li3ReCl8 after structural relaxation.

The calculation puts the uncorrected formation energy at -1.145 eV/atom. The value obtained for the total energy is -3.892 eV per atom.

The space group is C222 (No. 21) and the conventional cell measures 7.696, 10.074 and 7.646 Å, with angles of 90.00, 90.00 and 90.00 degrees. The distinct sites, in fractional coordinates, are Li at (0.000, 0.000, 0.000), Li at (0.250, 0.250, 0.831), Re at (0.000, 0.000, 0.500), Cl at (0.000, 0.228, 0.500), Cl at (0.000, 0.236, 0.000) and Cl at (0.218, 0.005, 0.717).

---

No. 3
VASP calculation (GGA-PBE) on SmBe3As3 after structural relaxation.

The value obtained for the formation energy is -11.873 kcal/mol of atoms. The value obtained for the total energy is -4.779 eV per atom.

The space group is R-3 (No. 148, hexagonal axes) and the conventional cell measures 6.6797, 6.6797 and 20.1998 Å, with angles of 90.00, 90.00 and 120.00 degrees. The distinct sites, in fractional coordinates, are Sm at (0.0000, 0.0000, 0.1664), Be at (0.0023, 0.3392, 0.6248) and As at (0.0004, 0.3257, 0.4076).

---

No. 4
VASP calculation (GGA-PBE) on AcTb4Tl7 after structural relaxation.

The value obtained for the formation energy is -2.391 kcal/mol of atoms. The value obtained for the total energy is -3.370 eV per atom.

The space group is C2/m (No. 12) and the conventional cell measures 13.349, 5.955 and 11.661 Å, with angles of 90.00, 124.71 and 90.00 degrees. The distinct sites, in fractional coordinates, are Ac at (0.000, 0.000, 0.000), Tb at (0.108, 0.500, 0.332), Tb at (0.195, 0.000, 0.782), Tl at (0.000, 0.500, 0.000), Tl at (0.090, 0.000, 0.452), Tl at (0.178, 0.500, 0.893) and Tl at (0.240, 0.500, 0.665).

---

No. 5
VASP calculation (GGA-PBE) on MnAl3Cl12 after structural relaxation.

The calculation puts the uncorrected formation energy at -1.288 eV/atom. The value obtained for the total energy is -3.948 eV per atom.

The space group is R3c (No. 161, hexagonal axes) and the conventional cell measures 11.7706, 11.7706 and 27.7410 Å, with angles of 90.00, 90.00 and 120.00 degrees. The distinct sites, in fractional coordinates, are Mn at (0.0000, 0.0000, 0.0000), Al at (0.1627, 0.3835, 0.0500), Cl at (0.0461, 0.1818, 0.5577), Cl at (0.0605, 0.3532, 0.3826), Cl at (0.1836, 0.4774, 0.4929) and Cl at (0.1938, 0.4672, 0.6200).

---

No. 6
VASP calculation (GGA-PBE) on InCuOs2 after structural relaxation.

The value obtained for the formation energy is 15.018 kcal/mol of atoms. The value obtained for the total energy is -6.672 eV per atom.

The space group is I4/mmm (No. 139) and the conventional cell measures 3.826, 3.826 and 8.470 Å, with angles of 90.00, 90.00 and 90.00 degrees. The distinct sites, in fractional coordinates, are In at (0.000, 0.000, 0.000), Cu at (0.000, 0.000, 0.500) and Os at (0.000, 0.500, 0.250).

---

No. 7
VASP calculation (GGA-PBE) on Ba2ZnNiGe after structural relaxation.

The value obtained for the formation energy is -4.740 kcal/mol of atoms. The value obtained for the total energy is -3.309 eV per atom.

The space group is P4/mmm (No. 123) and the conventional cell measures 6.021, 6.021 and 4.496 Å, with angles of 90.00, 90.00 and 90.00 degrees. The distinct sites, in fractional coordinates, are Ba at (0.000, 0.500, 0.000), Zn at (0.000, 0.000, 0.500), Ni at (0.500, 0.500, 0.000) and Ge at (0.500, 0.500, 0.500).

---

No. 8
VASP calculation (GGA-PBE) on CdSbN2F after structural relaxation.

The calculation puts the uncorrected formation energy at 0.941 eV/atom. The value obtained for the total energy is -3.771 eV per atom.

The space group is P4/mmm (No. 123) and the conventional cell measures 4.227, 4.227 and 4.234 Å, with angles of 90.00, 90.00 and 90.00 degrees. The distinct sites, in fractional coordinates, are Cd at (0.000, 0.000, 0.000), Sb at (0.500, 0.500, 0.500), N at (0.000, 0.500, 0.000) and F at (0.000, 0.000, 0.500).

---

No. 9
VASP calculation (GGA-PBE) on Pm3GeH3 after structural relaxation.

The value obtained for the total energy is -4.727 eV per atom.

The space group is P6_3/m (No. 176) and the conventional cell measures 8.2304, 8.2304 and 4.2992 Å, with angles of 90.00, 90.00 and 120.00 degrees. The distinct sites, in fractional coordinates, are Pm at (0.0764, 0.3654, 0.2500), Ge at (0.3333, 0.6667, 0.7500) and H at (0.0445, 0.2378, 0.7500).

---

No. 10
VASP calculation (GGA-PBE) on LaEr3In after structural relaxation.

The value obtained for the formation energy is -3.643 kcal/mol of atoms. The value obtained for the total energy is -4.429 eV per atom.

The space group is Cmcm (No. 63) and the conventional cell measures 4.912, 25.238 and 4.845 Å, with angles of 90.00, 90.00 and 90.00 degrees. The distinct sites, in fractional coordinates, are La at (0.000, 0.146, 0.250), Er at (0.000, 0.045, 0.750), Er at (0.000, 0.251, 0.750), Er at (0.000, 0.449, 0.750) and In at (0.000, 0.345, 0.250).

---

No. 11
VASP calculation (GGA-PBE) on Pm8SmN6 after structural relaxation.

The calculation puts the uncorrected formation energy at -1.157 eV/atom. The value obtained for the total energy is -7.335 eV per atom.

The space group is R-3 (No. 148, hexagonal axes) and the conventional cell measures 6.2755, 6.2755 and 27.5502 Å, with angles of 90.00, 90.00 and 120.00 degrees. The distinct sites, in fractional coordinates, are Pm at (0.0000, 0.0000, 0.1667), Pm at (0.9999, 0.3333, 0.0646), Sm at (0.0000, 0.0000, 0.5000) and N at (0.0000, 0.3321, 0.5563).

---

No. 12
VASP calculation (GGA-PBE) on La4Nd2Cd after structural relaxation.

The value obtained for the formation energy is 0.319 kcal/mol of atoms. The value obtained for the total energy is -4.295 eV per atom.

The space group is C2/m (No. 12) and the conventional cell measures 17.200, 3.627 and 8.843 Å, with angles of 90.00, 117.18 and 90.00 degrees. The distinct sites, in fractional coordinates, are La at (0.081, 0.000, 0.200), La at (0.129, 0.500, 0.883), Nd at (0.217, 0.000, 0.641) and Cd at (0.000, 0.000, 0.500).

---

no.,calculated volume (Å³/atom)
1,24.78
2,24.70
3,18.58
4,31.75
5,34.67
6,15.50
7,32.60
8,15.13
9,18.01
10,30.03
11,20.88
12,35.05